Compound: Pm2FePtO6
Source: the Alexandria database
Functional: PBE with a Hubbard U
Structure: relaxed

E	-7.30	eV per atom
space group	P2_1/c
volume	125.9	Å³/f.u.

abc: 5.449 5.943 7.777
angles: 90.00 89.35 90.00
Fractional positions:
O1 0.386 0.959 0.750
Pm1 0.525 0.576 0.750
Pm2 0.025 0.924 0.250
O2 0.679 0.299 0.555
Fe1 0.000 0.500 0.500
O3 0.614 0.041 0.250
O4 0.192 0.187 0.446
Pt1 0.500 0.000 0.500
O5 0.821 0.799 0.945
O6 0.321 0.701 0.445
Fe2 0.500 0.000 0.000
O7 0.692 0.313 0.946
O8 0.808 0.813 0.554
Pm3 0.475 0.424 0.250
Pt2 0.000 0.500 0.000
O9 0.114 0.459 0.750
O10 0.308 0.687 0.054
Pm4 0.975 0.076 0.750
O11 0.179 0.201 0.055
O12 0.886 0.541 0.250